This record from the Alexandria database describes a relaxed Tb6Zn5Pb crystal. The functional is PBE.

a = 5.119 Å, b = 7.297 Å, c = 15.448 Å
α = 90.00°, β = 90.00°, γ = 90.00°
Space group Immm (No. 71)
Asymmetric unit:
Tb1 0.000 0.236 0.000 x4
Tb2 0.000 0.257 0.328 x8
Zn1 0.000 0.000 0.168 x4
Zn2 0.000 0.500 0.169 x4
Zn3 0.000 0.500 0.500 x2
Pb1 0.000 0.000 0.500 x2

Properties
Spin magnetization, μB per atom: 0.00
ΔE_f, eV per atom: -0.36



This record from the Alexandria database describes a relaxed TbZn2Pb crystal. The functional is PBE.

a = 4.434 Å, b = 4.434 Å, c = 4.476 Å
α = 90.00°, β = 90.00°, γ = 90.00°
Space group P4/mmm (No. 123)
Asymmetric unit:
Tb1 0.000 0.000 0.000 x1
Zn1 0.000 0.500 0.500 x2
Pb1 0.500 0.500 0.000 x1

Properties
Distance to the lowest polymorph of the same formula, meV per atom: 0.0
Spin magnetization, μB per atom: 0.00
ΔE_f, eV per atom: -0.27



This record from the Alexandria database describes a relaxed Tb2ZrPb crystal. The functional is PBE.

a = 4.751 Å, b = 4.751 Å, c = 4.711 Å
α = 90.00°, β = 90.00°, γ = 90.00°
Space group P4/mmm (No. 123)
Asymmetric unit:
Tb1 0.000 0.500 0.000 x2
Zr1 0.000 0.000 0.500 x1
Pb1 0.500 0.500 0.500 x1

Properties
Distance to the lowest polymorph of the same formula, meV per atom: 0.0
Spin magnetization, μB per atom: 0.00
ΔE_f, eV per atom: -0.18



This record from the Alexandria database describes a relaxed Tb2ZrPb crystal. The functional is PBE.

a = 3.4408 Å, b = 3.4408 Å, c = 35.1574 Å
α = 90.00°, β = 90.00°, γ = 120.00°
Space group R-3m (No. 166, hexagonal axes)
Asymmetric unit:
Tb1 0.0000 0.0000 0.0918 x6
Zr1 0.0000 0.0000 0.5000 x3
Pb1 0.0000 0.0000 0.0000 x3

Properties
Distance to the lowest polymorph of the same formula, meV per atom: 272.8
Spin magnetization, μB per atom: 0.00
ΔE_f, eV per atom: 0.09



This record from the Alexandria database describes a relaxed TcPb crystal. The functional is PBE.

a = 13.111 Å, b = 3.092 Å, c = 6.950 Å
α = 90.00°, β = 115.60°, γ = 90.00°
Space group Cm (No. 8)
Asymmetric unit:
Tc1 0.000 0.000 0.000 x2
Tc2 0.089 0.000 0.403 x2
Tc3 0.408 0.000 0.187 x2
Pb1 0.215 0.500 0.203 x2
Pb2 0.267 0.500 0.746 x2
Pb3 0.484 0.000 0.633 x2

Properties
Distance to the lowest polymorph of the same formula, meV per atom: 233.8
Spin magnetization, μB per atom: 0.00
ΔE_f, eV per atom: 0.50



This record from the Alexandria database describes a relaxed Tc7Pb crystal. The functional is PBE.

a = 7.930 Å, b = 7.930 Å, c = 7.930 Å
α = 90.00°, β = 90.00°, γ = 90.00°
Space group Fm-3m (No. 225)
Asymmetric unit:
Tc1 0.000 0.000 0.000 x4
Tc2 0.000 0.250 0.250 x24
Pb1 0.000 0.000 0.500 x4

Properties
Spin magnetization, μB per atom: 0.35
ΔE_f, eV per atom: 0.46



This record from the Alexandria database describes a relaxed TcPb crystal. The functional is PBE.

a = 3.992 Å, b = 3.992 Å, c = 10.004 Å
α = 90.00°, β = 90.00°, γ = 90.00°
Space group I4_1/amd (No. 141, origin choice 2)
Asymmetric unit:
Tc1 0.000 0.250 0.375 x4
Pb1 0.000 0.250 0.875 x4

Properties
Distance to the lowest polymorph of the same formula, meV per atom: 665.4
Spin magnetization, μB per atom: 0.42
ΔE_f, eV per atom: 0.93



This record from the Alexandria database describes a relaxed TcPb crystal. The functional is PBE.

a = 3.0976 Å, b = 3.0976 Å, c = 32.0399 Å
α = 90.00°, β = 90.00°, γ = 120.00°
Space group R-3m (No. 166, hexagonal axes)
Asymmetric unit:
Tc1 0.0000 0.0000 0.1384 x6
Pb1 0.0000 0.0000 0.3922 x6

Properties
Distance to the lowest polymorph of the same formula, meV per atom: 201.3
Spin magnetization, μB per atom: 0.00
ΔE_f, eV per atom: 0.47